No. 1
Ba3UCu2Te6 | PBE-GGA | optimized geometry

abc: 8.3478 8.3478 8.8297
angles: 90.00 90.00 120.00
Each line ends with the local moment (μB).
Fractional coordinates of all 12 atoms:
Te: 0.8357 0.6713 0.7108  -0.03
Te: 0.3287 0.1643 0.7108  -0.03
Te: 0.1643 0.3287 0.2892  -0.03
Te: 0.6713 0.8357 0.2892  -0.03
Te: 0.8357 0.1643 0.7108  -0.03
Te: 0.1643 0.8357 0.2892  -0.03
Cu: 0.3333 0.6667 0.2348  -0.02
Cu: 0.6667 0.3333 0.7652  -0.02
Ba: 0.0000 0.0000 0.0000  0.00
Ba: 0.6667 0.3333 0.4002  0.00
Ba: 0.3333 0.6667 0.5998  0.00
U: 0.0000 0.0000 0.5000  2.21

uncorrected formation energy: -0.84 eV per atom
E: -54.1 eV/cell
symmetry: P-3m1
magnetic moment: 2.00 μB per formula unit

---

No. 2
TcP2Os | PBE-GGA | optimized geometry

abc: 7.5659 7.5659 7.5659
angles: 22.64 22.64 22.64
Fractional coordinates of all 4 atoms:
Tc: 0.5100 0.5100 0.5100
Os: 0.7397 0.7397 0.7397
P: 0.2495 0.2495 0.2495
P: 0.0008 0.0008 0.0008

energy relative to the lowest polymorph listed for this composition: 0.252 eV/atom
E: -32.6 eV/cell
symmetry: R3m
calculated formation energy: -0.053 eV/atom
magnetic moment: 0.00 μB per formula unit

---

No. 3
Pd7Se4 | PBE-GGA | optimized geometry

abc: 5.4080 7.0527 10.3490
angles: 90.00 90.00 90.00
Fractional coordinates of all 22 atoms:
Se: 0.6838 0.3248 0.7201
Se: 0.3162 0.8248 0.7799
Se: 0.9999 0.5000 0.0000
Se: 0.6838 0.6752 0.2799
Se: 0.8306 0.0000 0.0000
Se: 0.1694 0.5000 0.5000
Se: 0.3162 0.1752 0.2201
Se: 0.0001 0.0000 0.5000
Pd: 0.6621 0.8738 0.6324
Pd: 0.3500 0.8096 0.4173
Pd: 0.0059 0.9138 0.2256
Pd: 0.0059 0.0862 0.7744
Pd: 0.3500 0.1904 0.5827
Pd: 0.6772 0.5000 0.5000
Pd: 0.3379 0.6262 0.1324
Pd: 0.6500 0.6904 0.9173
Pd: 0.6621 0.1262 0.3676
Pd: 0.3228 0.0000 0.0000
Pd: 0.9941 0.4138 0.2744
Pd: 0.9941 0.5862 0.7256
Pd: 0.6500 0.3096 0.0827
Pd: 0.3379 0.3738 0.8676

uncorrected formation energy: -0.26 eV per atom
E: -106.2 eV/cell
symmetry: P2_12_12
magnetic moment: 0.00 μB per formula unit

---

No. 4
Er4TcBi | PBE-GGA | optimized geometry

abc: 6.1706 8.6696 8.0271
angles: 114.72 102.31 108.48
Fractional coordinates of all 12 atoms:
Er: 0.2116 0.2748 0.3322
Er: 0.3793 0.9425 0.6678
Er: 0.0538 0.2014 0.8570
Er: 0.6207 0.0575 0.3322
Er: 0.6968 0.3444 0.1430
Er: 0.7884 0.7252 0.6678
Er: 0.9462 0.7986 0.1430
Er: 0.3032 0.6556 0.8570
Bi: 0.3774 0.6274 0.2549
Bi: 0.6226 0.3726 0.7451
Tc: 0.2509 0.0009 0.0018
Tc: 0.7491 0.9991 0.9982

E: -69.6 eV/cell
symmetry: C2/c
calculated formation energy: -0.387 eV/atom
magnetic moment: 0.00 μB per formula unit

---

No. 5
Si2Se | PBE-GGA | optimized geometry

abc: 3.4410 3.7269 11.4270
angles: 93.66 90.16 117.49
Fractional coordinates of all 6 atoms:
Si: 0.6465 0.7938 0.9495
Si: 0.9490 0.3945 0.2065
Si: 0.3535 0.2062 0.0505
Si: 0.0510 0.6055 0.7935
Se: 0.6592 0.8129 0.3243
Se: 0.3408 0.1871 0.6757

energy relative to the lowest polymorph listed for this composition: 0.162 eV/atom
uncorrected formation energy: -0.01 eV per atom
E: -28.7 eV/cell
symmetry: P-1
magnetic moment: 0.00 μB per formula unit

---

No. 6
Ba6As2I3O | PBE-GGA | optimized geometry

abc: 7.9771 7.9771 8.7729
angles: 98.77 98.77 119.82
Fractional coordinates of all 12 atoms:
Ba: 0.3700 0.0648 0.1945
Ba: 0.6300 0.9352 0.8055
Ba: 0.7575 0.7575 0.2006
Ba: 0.9352 0.6300 0.8055
Ba: 0.0648 0.3700 0.1945
Ba: 0.2425 0.2425 0.7994
As: 0.3340 0.6660 0.0000
As: 0.6660 0.3340 0.0000
I: 0.5000 0.5000 0.5000
I: 0.8257 0.1743 0.5000
I: 0.1743 0.8257 0.5000
O: 0.0000 0.0000 0.0000

uncorrected formation energy: -1.57 eV per atom
E: -49.3 eV/cell
symmetry: C2/m
magnetic moment: 0.00 μB per formula unit

---

No. 7
La6PmPb | PBE-GGA | optimized geometry

abc: 5.1226 5.1226 10.5154
angles: 90.00 90.00 90.00
Fractional coordinates of all 8 atoms:
La: 0.5000 0.5000 0.5000
La: 0.5000 0.5000 0.0000
La: 0.0000 0.5000 0.2439
La: 0.5000 0.0000 0.2439
La: 0.5000 0.0000 0.7561
La: 0.0000 0.5000 0.7561
Pm: 0.0000 0.0000 0.5000
Pb: 0.0000 0.0000 0.0000

energy relative to the lowest polymorph listed for this composition: 0.000 eV/atom
E: -39.4 eV/cell
symmetry: P4/mmm
calculated formation energy: -0.168 eV/atom
magnetic moment: 0.00 μB per formula unit

---

No. 8
Hf5HgRu4 | PBE-GGA | optimized geometry

abc: 3.2262 3.2262 17.2191
angles: 90.00 90.00 90.00
Fractional coordinates of all 10 atoms:
Ru: 0.0000 0.0000 0.5944
Ru: 0.0000 0.0000 0.2155
Ru: 0.0000 0.0000 0.7845
Ru: 0.0000 0.0000 0.4056
Hf: 0.5000 0.5000 0.5000
Hf: 0.5000 0.5000 0.3105
Hf: 0.5000 0.5000 0.8788
Hf: 0.5000 0.5000 0.6895
Hf: 0.5000 0.5000 0.1212
Hg: 0.0000 0.0000 0.0000

E: -93.6 eV/cell
symmetry: P4/mmm
calculated formation energy: -0.641 eV/atom
magnetic moment: 0.00 μB per formula unit